This record from Alexandria via LeMat-Bulk describes an optimized crystal structure of Ba3ScMn2O9. The functional is PBE with a Hubbard U.

Cell lengths 5.726, 5.726, 7.030 Å; angles 90.00, 90.00, 120.00 degrees
Each line ends with the local moment (μB).
Fractional positions:
Ba 0.333 0.667 0.672  0.01
Ba 0.667 0.333 0.328  0.01
Ba 0.000 0.000 0.000  0.00
O 0.652 0.826 0.323  0.01
O 0.174 0.348 0.323  0.01
O 0.826 0.652 0.677  0.01
O 0.000 0.500 0.000  0.14
O 0.348 0.174 0.677  0.01
O 0.500 0.500 0.000  0.14
O 0.826 0.174 0.677  0.01
O 0.500 0.000 0.000  0.14
O 0.174 0.826 0.323  0.01
Sc 0.000 0.000 0.500  -0.05
Mn 0.333 0.667 0.169  3.11
Mn 0.667 0.333 0.831  3.11

Space group = No. 164
Raw total energy = -7.04 eV/atom